# AcGa2MoO8 GGA+U optimized geometry
data_AcGa2MoO8
_cell_length_a 4.7003
_cell_length_b 4.7001
_cell_length_c 7.2208
_cell_angle_alpha 87.80
_cell_angle_beta 87.76
_cell_angle_gamma 88.10
_space_group_name_H-M_alt 'P 1'
_space_group_IT_number 1
_space_group_name_Hall 'P 1'
loop_
_atom_site_label
_atom_site_type_symbol
_atom_site_fract_x
_atom_site_fract_y
_atom_site_fract_z
_atom_site_occupancy
O1 O 0.2972 0.2977 0.9890 1
O2 O 0.1980 0.8003 0.1960 1
O3 O 0.6454 0.6441 0.5618 1
O4 O 0.7996 0.1976 0.1963 1
O5 O 0.3546 0.3559 0.4382 1
O6 O 0.8020 0.1997 0.8040 1
O7 O 0.7028 0.7023 0.0110 1
O8 O 0.2004 0.8024 0.8037 1
Ga1 Ga 0.4709 0.4710 0.1949 1
Ga2 Ga 0.5291 0.5290 0.8051 1
Ac1 Ac 0.0000 0.0000 0.5000 1
Mo1 Mo 0.0000 0.0000 0.0000 1
# total DFT energy (no corrections)	-6.60	eV per atom